Below is a relaxed structure of Tb4Tm5Cd, with properties calculated at the PBE level.

abc: 5.643 7.980 7.980
angles: 82.82 69.29 69.29
Positions (direct):
1 Tb 0.782 0.680 0.680
2 Tb 0.141 0.320 0.320
3 Tb 0.461 0.680 0.320
4 Tb 0.461 0.320 0.680
5 Tm 0.140 0.000 0.631
6 Tm 0.140 0.631 0.000
7 Tm 0.771 0.000 0.369
8 Tm 0.662 0.000 0.000
9 Tm 0.771 0.369 0.000
10 Cd 0.180 0.000 0.000

V	31.44	Å³/atom
energy of formation	0.14	eV per atom
space-group type	I4mm (107)

Below is a relaxed structure of Tb12Tm5Cd2, with properties calculated at the PBE level.

abc: 9.143 8.991 8.271
angles: 91.10 90.00 120.56
Positions (direct):
1 Tm 0.695 0.391 0.009
2 Tm 0.766 0.531 0.419
3 Tm 0.305 0.609 0.991
4 Tm 0.234 0.469 0.581
5 Tm 0.000 0.000 0.500
6 Cd 0.323 0.000 0.000
7 Cd 0.677 0.000 0.000
8 Tb 0.429 0.249 0.663
9 Tb 0.444 0.888 0.675
10 Tb 0.663 0.696 0.760
11 Tb 0.820 0.249 0.663
12 Tb 0.571 0.751 0.337
13 Tb 0.180 0.751 0.337
14 Tb 0.033 0.696 0.760
15 Tb 0.337 0.304 0.240
16 Tb 0.556 0.112 0.325
17 Tb 0.914 0.828 0.111
18 Tb 0.086 0.172 0.889
19 Tb 0.967 0.304 0.240

V	30.80	Å³/atom
energy of formation	0.05	eV per atom
space-group type	C2/m (12)

Below is a relaxed structure of Tb5TmCd6, with properties calculated at the PBE level.

abc: 5.288 7.526 8.374
angles: 90.00 71.59 90.00
Positions (direct):
1 Tb 0.666 0.000 0.669
2 Tb 0.668 0.500 0.664
3 Tb 0.334 0.000 0.331
4 Tb 0.332 0.500 0.336
5 Tb 0.000 0.500 0.000
6 Cd 0.835 0.753 0.331
7 Cd 0.500 0.248 0.000
8 Cd 0.500 0.752 0.000
9 Cd 0.165 0.247 0.669
10 Cd 0.835 0.247 0.331
11 Cd 0.165 0.753 0.669
12 Tm 0.000 0.000 0.000

V	26.35	Å³/atom
energy of formation	-0.32	eV per atom
space-group type	Cmmm (65)

Below is a relaxed structure of TbTm4Cd, with properties calculated at the PBE level.

abc: 3.516 3.516 14.029
angles: 90.00 90.00 90.00
Positions (direct):
1 Tm 0.000 0.000 0.352
2 Tm 0.500 0.500 0.823
3 Tm 0.000 0.000 0.648
4 Tm 0.500 0.500 0.177
5 Cd 0.500 0.500 0.500
6 Tb 0.000 0.000 0.000

V	28.90	Å³/atom
energy of formation	-0.09	eV per atom
space-group type	P4/mmm (123)

Below is a relaxed structure of Tb3Tm2Cd4, with properties calculated at the PBE level.

abc: 6.620 7.997 10.052
angles: 90.00 109.23 90.00
Positions (direct):
1 Cd 0.842 0.021 0.685
2 Cd 0.328 0.250 0.155
3 Cd 0.658 0.521 0.315
4 Cd 0.342 0.479 0.685
5 Cd 0.828 0.250 0.155
6 Cd 0.672 0.750 0.845
7 Cd 0.158 0.979 0.315
8 Cd 0.172 0.750 0.845
9 Tb 0.996 0.250 0.491
10 Tb 0.500 0.500 0.000
11 Tb 0.000 0.000 0.000
12 Tb 0.004 0.750 0.509
13 Tb 0.496 0.250 0.491
14 Tb 0.504 0.750 0.509
15 Tm 0.590 0.898 0.181
16 Tm 0.910 0.398 0.819
17 Tm 0.090 0.602 0.181
18 Tm 0.410 0.102 0.819

V	27.91	Å³/atom
energy of formation	-0.12	eV per atom
space-group type	Cmce (64)

Below is a relaxed structure of Tb4TmCd3, with properties calculated at the PBE level.

abc: 3.768 5.372 10.899
angles: 90.00 90.00 90.00
Positions (direct):
1 Cd 0.500 0.500 0.500
2 Cd 0.500 0.000 0.247
3 Cd 0.500 0.000 0.753
4 Tb 0.000 0.000 0.500
5 Tb 0.000 0.500 0.262
6 Tb 0.000 0.500 0.738
7 Tb 0.000 0.000 0.000
8 Tm 0.500 0.500 0.000

V	27.58	Å³/atom
energy of formation	-0.18	eV per atom
space-group type	Pmmm (47)

Below is a relaxed structure of TbTm2Cd6, with properties calculated at the PBE level.

abc: 3.399 8.594 8.594
angles: 120.00 90.00 90.00
Positions (direct):
1 Cd 0.500 0.665 0.000
2 Cd 0.500 0.000 0.665
3 Cd 0.500 0.000 0.335
4 Cd 0.500 0.335 0.000
5 Cd 0.500 0.335 0.335
6 Cd 0.500 0.665 0.665
7 Tm 0.000 0.667 0.333
8 Tm 0.000 0.333 0.667
9 Tb 0.000 0.000 0.000

V	24.16	Å³/atom
energy of formation	-0.30	eV per atom
space-group type	P6/mmm (191)

Below is a relaxed structure of Tb8Tm5Cd, with properties calculated at the PBE level.

abc: 8.364 8.364 8.364
angles: 110.47 107.49 110.47
Positions (direct):
1 Tb 0.344 0.276 0.439
2 Tb 0.739 0.262 0.344
3 Tb 0.163 0.724 0.068
4 Tb 0.932 0.095 0.656
5 Tb 0.523 0.605 0.261
6 Tb 0.561 0.905 0.837
7 Tb 0.656 0.395 0.918
8 Tb 0.082 0.738 0.477
9 Tm 0.878 0.899 0.183
10 Tm 0.021 0.305 0.122
11 Tm 0.817 0.695 0.716
12 Tm 0.284 0.101 0.979
13 Tm 0.500 0.000 0.500
14 Cd 0.250 0.500 0.750

V	32.15	Å³/atom
energy of formation	0.21	eV per atom
space-group type	I-4 (82)

Below is a relaxed structure of Tb3Tm3Cd2, with properties calculated at the PBE level.

abc: 5.173 6.326 15.708
angles: 90.00 90.00 114.13
Positions (direct):
1 Tb 0.264 0.527 0.750
2 Tb 0.041 0.082 0.605
3 Tb 0.959 0.918 0.105
4 Tb 0.736 0.473 0.250
5 Tb 0.041 0.082 0.895
6 Tb 0.959 0.918 0.395
7 Cd 0.232 0.465 0.365
8 Cd 0.232 0.465 0.135
9 Cd 0.768 0.535 0.635
10 Cd 0.768 0.535 0.865
11 Tm 0.355 0.711 0.965
12 Tm 0.546 0.092 0.750
13 Tm 0.645 0.289 0.035
14 Tm 0.355 0.711 0.535
15 Tm 0.645 0.289 0.465
16 Tm 0.454 0.908 0.250

V	29.32	Å³/atom
energy of formation	-0.06	eV per atom
space-group type	Cmcm (63)

Below is a relaxed structure of Tb2TmCd, with properties calculated at the PBE level.

abc: 3.850 5.436 5.436
angles: 90.00 90.00 90.00
Positions (direct):
1 Tm 0.500 0.500 0.500
2 Tb 0.000 0.500 0.000
3 Tb 0.000 0.000 0.500
4 Cd 0.500 0.000 0.000

V	28.44	Å³/atom
energy of formation	-0.07	eV per atom
space-group type	P4/mmm (123)

Below is a relaxed structure of Tb4Tm5Cd, with properties calculated at the PBE level.

abc: 3.525 3.527 24.032
angles: 90.00 90.00 90.00
Positions (direct):
1 Cd 0.000 0.000 0.000
2 Tm 0.500 0.500 0.708
3 Tm 0.500 0.500 0.292
4 Tm 0.500 0.500 0.500
5 Tm 0.500 0.500 0.086
6 Tm 0.500 0.500 0.914
7 Tb 0.000 0.000 0.604
8 Tb 0.000 0.000 0.811
9 Tb 0.000 0.000 0.189
10 Tb 0.000 0.000 0.396

V	29.88	Å³/atom
energy of formation	-0.04	eV per atom
space-group type	P4/mmm (123)

Below is a relaxed structure of TbTm4Cd, with properties calculated at the PBE level.

abc: 6.238 8.792 8.210
angles: 112.76 99.81 113.04
Positions (direct):
1 Tm 0.365 0.907 0.618
2 Tm 0.787 0.409 0.249
3 Tm 0.213 0.591 0.751
4 Tm 0.753 0.711 0.618
5 Tm 0.635 0.093 0.382
6 Tm 0.037 0.159 0.751
7 Tm 0.963 0.841 0.249
8 Tm 0.247 0.289 0.382
9 Tb 0.661 0.411 0.821
10 Tb 0.339 0.589 0.179
11 Cd 0.750 0.000 0.999
12 Cd 0.250 0.000 0.001

V	29.46	Å³/atom
energy of formation	0.01	eV per atom
space-group type	C2/c (15)